# Zn2HgOs

Zn2HgOs at its PBEsol-relaxed geometry (SCAN, the Alexandria database).

The structure belongs to space group Amm2 (No. 38); the cell edges are 4.284, 2.706 and 10.548 Å and the angles 90.00°, 90.00° and 90.00°. Symmetry generates all atoms from Zn at (0.000, 0.000, 0.000), Zn at (0.500, 0.000, 0.139), Hg at (0.000, 0.000, 0.752) and Os at (0.500, 0.000, 0.417).

As for the calculated formation energy: 0.373 eV per atom.

---

# LiCa2Cd

LiCa2Cd at its PBEsol-relaxed geometry (SCAN, the Alexandria database).

The structure belongs to space group Amm2 (No. 38); the cell edges are 4.883, 4.005 and 11.957 Å and the angles 90.00°, 90.00° and 90.00°. Symmetry generates all atoms from Li at (0.000, 0.000, 0.000), Ca at (0.000, 0.000, 0.713), Ca at (0.500, 0.000, 0.413) and Cd at (0.500, 0.000, 0.132).

As for the calculated formation energy: -0.215 eV per atom. The value obtained for the distance to the lowest polymorph of the same formula is 0.026 eV per atom.

---

# HoFe2Ge2

HoFe2Ge2 at its PBEsol-relaxed geometry (SCAN, the Alexandria database).

The structure belongs to space group I4/mmm (No. 139); the cell edges are 3.943, 3.943 and 9.810 Å and the angles 90.00°, 90.00° and 90.00°. Symmetry generates all atoms from Ho at (0.000, 0.000, 0.000), Fe at (0.000, 0.500, 0.250) and Ge at (0.000, 0.000, 0.370).

As for the calculated formation energy: -0.438 eV per atom.

---

# YAl2Co2

YAl2Co2 at its PBEsol-relaxed geometry (SCAN, the Alexandria database).

The structure belongs to space group P4/mbm (No. 127); the cell edges are 7.190, 7.190 and 2.797 Å and the angles 90.00°, 90.00° and 90.00°. Symmetry generates all atoms from Y at (0.000, 0.000, 0.000), Al at (0.137, 0.363, 0.500) and Co at (0.153, 0.653, 0.000).

As for the calculated formation energy: -0.275 eV per atom. The value obtained for the distance to the lowest polymorph of the same formula is 0.110 eV per atom.

---

# TlFe3Cu

TlFe3Cu at its PBEsol-relaxed geometry (SCAN, the Alexandria database).

The structure belongs to space group Pm-3m (No. 221); the cell edges are 4.345, 4.345 and 4.345 Å and the angles 90.00°, 90.00° and 90.00°. Symmetry generates all atoms from Tl at (0.000, 0.000, 0.000), Fe at (0.000, 0.500, 0.500) and Cu at (0.500, 0.500, 0.500).

As for the calculated formation energy: 0.939 eV per atom.

---

# LiSbTe2

LiSbTe2 at its PBEsol-relaxed geometry (SCAN, the Alexandria database).

The structure belongs to space group Cm (No. 8); the cell edges are 13.182, 4.205 and 4.250 Å and the angles 90.00°, 90.18° and 90.00°. Symmetry generates all atoms from Li at (0.000, 0.000, 0.000), Sb at (0.187, 0.500, 0.503), Te at (0.231, 0.000, 0.002) and Te at (0.479, 0.000, 0.499).

The value obtained for the formation energy from raw total energies is -162 kJ/mol of formula units.

---

The records above give, respectively, total magnetic moment values of 0.000 0.015 1.762 0.000 9.322 0.000 μB/f.u..